This record from the Alexandria database describes crystalline PmDyLuHg at its relaxed geometry. The functional is PBE-GGA.

The structure in extended XYZ format:
```
4
Lattice="-1.183 5.086 1.378 -1.460 1.154 5.070 3.343 2.776 3.207" Properties=species:S:1:pos:R:3 pbc="T T T"
Lu 0.525 6.761 7.242
Pm 0.350 4.508 4.828
Hg 0.000 0.000 0.000
Dy 0.175 2.254 2.414
```

Values from the calculation:
As for the space-group type: F-43m. The value obtained for the total energy is -14.2 eV per cell. The value obtained for the formation energy is -0.003 eV per atom.

This record from the Alexandria database describes crystalline CaZr2Cr at its relaxed geometry. The functional is PBE-GGA.

The structure in extended XYZ format:
```
4
Lattice="0.000 3.526 3.526 3.526 0.000 3.526 3.526 3.526 0.000" Properties=species:S:1:pos:R:3 pbc="T T T"
Cr 3.526 3.526 3.526
Ca 0.000 0.000 0.000
Zr 1.763 1.763 1.763
Zr 5.289 5.289 5.289
```

Values from the calculation:
As for the space-group type: Fm-3m. The value obtained for the total energy is -26.5 eV per cell. For the excess energy over the best structure of this formula in the dataset, the calculation gives 0.307 eV/atom. The value obtained for the formation energy is 0.549 eV per atom.

This record from the Alexandria database describes crystalline Na2GeCl4 at its relaxed geometry. The functional is PBE-GGA.

The structure in extended XYZ format:
```
7
Lattice="5.226 0.000 0.000 0.000 5.226 0.000 2.613 2.613 7.242" Properties=species:S:1:pos:R:3 pbc="T T T"
Na 2.613 2.613 1.990
Na 5.226 5.226 5.252
Ge 0.000 0.000 0.000
Cl 2.613 2.613 4.633
Cl 5.226 5.226 2.609
Cl 0.000 2.613 0.000
Cl 2.613 0.000 0.000
```

Values from the calculation:
As for the space-group type: I4/mmm. The value obtained for the total energy is -23.4 eV per cell. For the excess energy over the best structure of this formula in the dataset, the calculation gives 0.115 eV/atom. As for the formation energy without anion corrections: -1.25 eV/atom.